(1)
DFT (PBE) results for a relaxed La2MgCu crystal.

- V (Å³/cell) = 110.9
- energy (eV per atom) = -3.93
- space group = Cmmm (65)
- DOS(E_F) (states/eV per cell) = 5.24
- ΔH_f (0 K) (eV/atom) = -0.046

The structure in POSCAR format:
```
La2MgCu
1.0
-6.3525 1.3476 5.4941
1.7557 -4.6284 -2.0653
0.4320 -1.4196 3.5565
La Cu Mg
2 1 1
Direct
0.5000 0.0000 0.5000
0.0000 0.0000 0.0000
0.5000 0.5000 0.0000
0.0000 0.5000 0.5000
```


(2)
DFT (PBE) results for a relaxed LaMg3Cu2 crystal.

- V (Å³/cell) = 261.9
- energy (eV per atom) = -3.09
- space group = C2/m (12)
- DOS(E_F) (states/eV per cell) = 8.40
- ΔH_f (0 K) (eV/atom) = -0.106

The structure in POSCAR format:
```
LaMg3Cu2
1.0
4.3277 0.0000 0.0000
-2.1638 8.1852 -0.1483
0.0000 -3.8382 7.4631
Cu Mg La
4 6 2
Direct
0.2025 0.4051 0.6999
0.7975 0.5949 0.3001
0.4852 0.9703 0.8437
0.5148 0.0297 0.1563
0.6060 0.2120 0.7090
0.3940 0.7880 0.2910
0.0424 0.0848 0.3720
0.6833 0.3666 0.4500
0.9576 0.9152 0.6280
0.3167 0.6334 0.5500
0.8565 0.7131 0.9303
0.1435 0.2869 0.0697
```


(3)
DFT (PBE) results for a relaxed La2MgCu crystal.

- V (Å³/cell) = 220.4
- energy (eV per atom) = -4.00
- space group = Pmma (51)
- DOS(E_F) (states/eV per cell) = 8.94
- ΔH_f (0 K) (eV/atom) = -0.114

The structure in POSCAR format:
```
La2MgCu
1.0
3.7794 0.0000 0.0000
0.0000 7.5678 0.0000
0.0000 0.0000 7.7069
Mg Cu La
2 2 4
Direct
0.0000 0.2500 0.4900
0.0000 0.7500 0.5100
0.0000 0.2500 0.0173
0.0000 0.7500 0.9827
0.5000 0.0083 0.7821
0.5000 0.9917 0.2179
0.5000 0.5083 0.2179
0.5000 0.4917 0.7821
```


Q: Which formula does entry 2 have?
A: LaMg3Cu2


Q: Look up the ΔH_f (0 K) of the third one.
A: -0.114 eV/atom